The following is a PBE calculation of a geometry-optimized Pu2BeGa structure, from the Alexandria database.

a b c (Å): 2.977 2.977 8.625
angles (deg): 90.00 90.00 90.00
Site moments in Bohr magnetons follow the coordinates.
Positions (direct):
Be  0.500  0.500  0.000  -0.07
Ga  0.500  0.500  0.500  -0.08
Pu  0.000  0.000  0.768  5.19
Pu  0.000  0.000  0.232  5.19

Output
For the total moment, the calculation gives 10.36 μB/cell. For the raw total energy, the calculation gives -8.846 eV per atom. For the polymorph energy (0 for the lowest one), the calculation gives 0.000 eV per atom. The calculation puts the density of states at the Fermi level at 8.69 states/eV/cell. For the energy of formation from the pure elements, the calculation gives 3 kJ/mol of formula units. The calculation puts the volume at 19.12 Å³/atom.